No. 1
Material: NdSm4Dy5
Method: DFT, GGA-PBE
State: relaxed

Structure (CIF):
```
data_NdSm4Dy5
_cell_length_a 6.814
_cell_length_b 6.313
_cell_length_c 9.297
_cell_angle_alpha 89.99
_cell_angle_beta 71.72
_cell_angle_gamma 62.40
_space_group_name_H-M_alt 'P 1'
_space_group_IT_number 1
_space_group_name_Hall 'P 1'
loop_
_atom_site_label
_atom_site_type_symbol
_atom_site_fract_x
_atom_site_fract_y
_atom_site_fract_z
_atom_site_occupancy
Nd1 Nd 0.251 0.932 0.949 1
Sm1 Sm 0.452 0.334 0.750 1
Sm2 Sm 0.651 0.734 0.550 1
Sm3 Sm 0.251 0.267 0.450 1
Sm4 Sm 0.451 0.668 0.250 1
Dy1 Dy 0.853 0.464 0.851 1
Dy2 Dy 0.049 0.866 0.650 1
Dy3 Dy 0.851 0.135 0.349 1
Dy4 Dy 0.051 0.535 0.151 1
Dy5 Dy 0.651 0.065 0.050 1
```

## Properties
The value obtained for the calculated density is 7.8 Mg/m³. The calculation puts the total magnetization at 0.00 Bohr magnetons per cell. For the density of states at the Fermi level, the calculation gives 1.704 states/eV/atom. The value obtained for the formation energy is 0.2 eV/f.u. Its total energy is -4.645 eV per atom. The energy above the most stable polymorph in this dataset is 0.000 eV/atom.

No. 2
Material: NdSmDy2
Method: DFT, GGA-PBE
State: relaxed

Structure (CIF):
```
data_NdSmDy2
_cell_length_a 5.064
_cell_length_b 5.098
_cell_length_c 5.098
_cell_angle_alpha 90.00
_cell_angle_beta 90.00
_cell_angle_gamma 90.00
_space_group_name_H-M_alt 'P 1'
_space_group_IT_number 1
_space_group_name_Hall 'P 1'
loop_
_atom_site_label
_atom_site_type_symbol
_atom_site_fract_x
_atom_site_fract_y
_atom_site_fract_z
_atom_site_occupancy
Nd1 Nd 0.500 0.500 0.500 1
Sm1 Sm 0.500 0.000 0.000 1
Dy1 Dy 0.000 0.000 0.500 1
Dy2 Dy 0.000 0.500 0.000 1
```

## Properties
The value obtained for the calculated density is 7.8 Mg/m³. The calculation puts the total magnetization at 0.00 Bohr magnetons per cell. For the density of states at the Fermi level, the calculation gives 1.566 states/eV/atom. The value obtained for the formation energy is 0.1 eV/f.u. Its total energy is -4.653 eV per atom. The energy above the most stable polymorph in this dataset is 0.024 eV/atom.

No. 3
Material: NdSm6Dy12
Method: DFT, GGA-PBE
State: relaxed

Structure (CIF):
```
data_NdSm6Dy12
_cell_length_a 8.569
_cell_length_b 8.569
_cell_length_c 8.569
_cell_angle_alpha 88.77
_cell_angle_beta 88.77
_cell_angle_gamma 88.77
_space_group_name_H-M_alt 'P 1'
_space_group_IT_number 1
_space_group_name_Hall 'P 1'
loop_
_atom_site_label
_atom_site_type_symbol
_atom_site_fract_x
_atom_site_fract_y
_atom_site_fract_z
_atom_site_occupancy
Nd1 Nd 0.000 0.000 0.000 1
Sm1 Sm 0.742 0.910 0.313 1
Sm2 Sm 0.687 0.258 0.090 1
Sm3 Sm 0.090 0.687 0.258 1
Sm4 Sm 0.258 0.090 0.687 1
Sm5 Sm 0.313 0.742 0.910 1
Sm6 Sm 0.910 0.313 0.742 1
Dy1 Dy 0.773 0.542 0.437 1
Dy2 Dy 0.437 0.773 0.542 1
Dy3 Dy 0.542 0.437 0.773 1
Dy4 Dy 0.227 0.458 0.563 1
Dy5 Dy 0.563 0.227 0.458 1
Dy6 Dy 0.458 0.563 0.227 1
Dy7 Dy 0.012 0.209 0.354 1
Dy8 Dy 0.791 0.646 0.988 1
Dy9 Dy 0.646 0.988 0.791 1
Dy10 Dy 0.988 0.791 0.646 1
Dy11 Dy 0.209 0.354 0.012 1
Dy12 Dy 0.354 0.012 0.209 1
```

## Properties
The value obtained for the calculated density is 7.9 Mg/m³. The calculation puts the total magnetization at 0.00 Bohr magnetons per cell. For the density of states at the Fermi level, the calculation gives 1.547 states/eV/atom. The value obtained for the formation energy is 2.9 eV/f.u. Its total energy is -4.495 eV per atom. The energy above the most stable polymorph in this dataset is 0.000 eV/atom.

No. 4
Material: NdSm6Dy
Method: DFT, GGA-PBE
State: relaxed

Structure (CIF):
```
data_NdSm6Dy
_cell_length_a 6.511
_cell_length_b 6.511
_cell_length_c 9.724
_cell_angle_alpha 87.84
_cell_angle_beta 137.37
_cell_angle_gamma 87.55
_space_group_name_H-M_alt 'P 1'
_space_group_IT_number 1
_space_group_name_Hall 'P 1'
loop_
_atom_site_label
_atom_site_type_symbol
_atom_site_fract_x
_atom_site_fract_y
_atom_site_fract_z
_atom_site_occupancy
Nd1 Nd 0.000 0.000 0.000 1
Sm1 Sm 0.449 0.483 0.294 1
Sm2 Sm 0.810 0.845 0.294 1
Sm3 Sm 0.190 0.155 0.706 1
Sm4 Sm 0.551 0.517 0.706 1
Sm5 Sm 0.846 0.346 0.193 1
Sm6 Sm 0.154 0.654 0.807 1
Dy1 Dy 0.500 0.000 0.500 1
```

## Properties
The value obtained for the calculated density is 7.2 Mg/m³. The calculation puts the total magnetization at 0.00 Bohr magnetons per cell. For the density of states at the Fermi level, the calculation gives 1.679 states/eV/atom. The value obtained for the formation energy is 1.2 eV/f.u. Its total energy is -4.562 eV per atom. The energy above the most stable polymorph in this dataset is 0.130 eV/atom.

No. 5
Material: NdSm2Dy9
Method: DFT, GGA-PBE
State: relaxed

Structure (CIF):
```
data_NdSm2Dy9
_cell_length_a 5.045
_cell_length_b 5.045
_cell_length_c 15.129
_cell_angle_alpha 90.00
_cell_angle_beta 90.00
_cell_angle_gamma 90.00
_space_group_name_H-M_alt 'P 1'
_space_group_IT_number 1
_space_group_name_Hall 'P 1'
loop_
_atom_site_label
_atom_site_type_symbol
_atom_site_fract_x
_atom_site_fract_y
_atom_site_fract_z
_atom_site_occupancy
Nd1 Nd 0.000 0.000 0.000 1
Sm1 Sm 0.000 0.000 0.334 1
Sm2 Sm 0.000 0.000 0.666 1
Dy1 Dy 0.500 0.500 0.000 1
Dy2 Dy 0.500 0.500 0.334 1
Dy3 Dy 0.500 0.500 0.666 1
Dy4 Dy 0.500 0.000 0.167 1
Dy5 Dy 0.500 0.000 0.500 1
Dy6 Dy 0.500 0.000 0.833 1
Dy7 Dy 0.000 0.500 0.167 1
Dy8 Dy 0.000 0.500 0.500 1
Dy9 Dy 0.000 0.500 0.833 1
```

## Properties
The value obtained for the calculated density is 8.2 Mg/m³. The calculation puts the total magnetization at 0.00 Bohr magnetons per cell. For the density of states at the Fermi level, the calculation gives 1.449 states/eV/atom. The value obtained for the formation energy is 0.2 eV/f.u. Its total energy is -4.616 eV per atom. The energy above the most stable polymorph in this dataset is 0.000 eV/atom.

No. 6
Material: Nd2Sm7Dy3
Method: DFT, GGA-PBE
State: relaxed

Structure (CIF):
```
data_Nd2Sm7Dy3
_cell_length_a 3.647
_cell_length_b 5.793
_cell_length_c 19.401
_cell_angle_alpha 98.59
_cell_angle_beta 90.00
_cell_angle_gamma 90.00
_space_group_name_H-M_alt 'P 1'
_space_group_IT_number 1
_space_group_name_Hall 'P 1'
loop_
_atom_site_label
_atom_site_type_symbol
_atom_site_fract_x
_atom_site_fract_y
_atom_site_fract_z
_atom_site_occupancy
Nd1 Nd 0.000 0.852 0.704 1
Nd2 Nd 0.000 0.148 0.296 1
Sm1 Sm 0.000 0.410 0.819 1
Sm2 Sm 0.000 0.769 0.538 1
Sm3 Sm 0.000 0.000 0.000 1
Sm4 Sm 0.000 0.590 0.181 1
Sm5 Sm 0.500 0.071 0.143 1
Sm6 Sm 0.500 0.929 0.857 1
Sm7 Sm 0.000 0.231 0.462 1
Dy1 Dy 0.500 0.500 0.000 1
Dy2 Dy 0.500 0.685 0.371 1
Dy3 Dy 0.500 0.315 0.629 1
```

## Properties
The value obtained for the calculated density is 7.5 Mg/m³. The calculation puts the total magnetization at 0.00 Bohr magnetons per cell. For the density of states at the Fermi level, the calculation gives 1.575 states/eV/atom. The value obtained for the formation energy is 1.3 eV/f.u. Its total energy is -4.587 eV per atom. The energy above the most stable polymorph in this dataset is 0.042 eV/atom.

- What is the calculated density in the first record?
  7.8 Mg/m³

- Which value of calculated density does entry 6 give?
  7.5 Mg/m³

- Which value of calculated density does entry 3 give?
  7.9 Mg/m³

- What is the formula in the first record?
  NdSm4Dy5